{"formula": "HfRe2H", "functional": "GGA-PBE", "state": "optimized geometry", "sg": "No. 225", "n_ef_per_ev_cell": 6.37, "volume_a3_per_cell": 59.0, "mass_density_g_cm3": 15.527, "dft_energy_ev_per_atom": -8.384, "lattice": [[-0.6790, -3.5039, -2.5222], [-3.3645, -0.0663, -2.7885], [0.7239, 0.2321, -4.3037]], "species": ["Re", "Re", "Hf", "H"], "frac_coords": [[0.7500, 0.7500, 0.7500], [0.2500, 0.2500, 0.2500], [0.5000, 0.5000, 0.5000], [0.0000, 0.0000, 0.0000]]}